A plane-wave DFT calculation with PBE-GGA was carried out for crystalline B2RhN at its relaxed geometry.

Calculated values
Energy   -0.2657 Ha/atom
Uncorrected formation energy   2.8 kJ per mole of atoms
D(E_F)   3.0 states/eV per cell
Total moment   0.000 μB/f.u.

Cell lengths 4.4429, 4.4429, 4.8406 Å; angles 62.68, 62.68, 90.00 degrees
Fractional coordinates of all 8 atoms:
B  0.5347  0.1250  0.2500
B  0.2153  0.6250  0.2500
B  0.3750  0.4653  0.7500
B  0.8750  0.7847  0.7500
Rh  0.0000  0.0000  0.0000
Rh  0.7500  0.2500  0.5000
N  0.5000  0.5000  0.0000
N  0.2500  0.7500  0.5000